Entry 1:
A geometry-optimized KTiTl structure. Source: the Alexandria database, functional PBE. Values from VASP.

Cell and atoms, written as Quantum ESPRESSO input:
```
&SYSTEM
  ibrav = 0, nat = 6, ntyp = 3
/
ATOMIC_SPECIES
Tl 204.38 Tl.upf
K 39.10 K.upf
Ti 47.87 Ti.upf
ATOMIC_POSITIONS angstrom
Tl 1.5265 2.6440 2.3679
Tl 1.5265 2.6440 5.7104
K 3.0531 0.0000 4.0391
K 3.0531 0.0000 0.0000
Ti 0.0000 0.0000 2.7281
Ti 0.0000 0.0000 5.3501
CELL_PARAMETERS angstrom
4.5796 -2.6440 0.0000
0.0000 5.2881 0.0000
0.0000 0.0000 8.0783
```

Summary:
Electronic total energy ... -3.187 eV/atom
N(E_F) ... 0.330 states/eV/atom
Symmetry ... P-6m2
Volume ... 32.61 A^3/atom
ΔE to the lowest computed polymorph ... 138 kJ/mol of formula units



Entry 2:
A geometry-optimized KTiTl structure. Source: the Alexandria database, functional PBE. Values from VASP.

Cell and atoms, written as Quantum ESPRESSO input:
```
&SYSTEM
  ibrav = 0, nat = 12, ntyp = 3
/
ATOMIC_SPECIES
Tl 204.38 Tl.upf
Ti 47.87 Ti.upf
K 39.10 K.upf
ATOMIC_POSITIONS angstrom
Tl 5.9225 2.3123 2.5089
Tl 7.4392 0.7708 8.3297
Tl 2.9853 0.7708 9.1329
Tl 1.4686 2.3123 3.3120
Ti 0.3695 2.3123 10.4819
Ti 4.8234 2.3123 6.9807
Ti 8.5382 0.7708 1.1598
Ti 4.0843 0.7708 4.6610
K 7.5294 0.7708 4.9506
K 3.0755 0.7708 0.8703
K 1.3784 2.3123 6.6912
K 5.8323 2.3123 10.7714
CELL_PARAMETERS angstrom
8.9078 0.0000 0.0000
0.0000 3.0831 0.0000
0.0000 0.0000 11.6417
```

Summary:
Electronic total energy ... -3.377 eV/atom
N(E_F) ... 0.996 states/eV/atom
Symmetry ... Pnma
Volume ... 26.64 A^3/atom
ΔE to the lowest computed polymorph ... 84 kJ/mol of formula units



Entry 3:
A geometry-optimized KTiTl2 structure. Source: the Alexandria database, functional PBE. Values from VASP.

Cell and atoms, written as Quantum ESPRESSO input:
```
&SYSTEM
  ibrav = 0, nat = 4, ntyp = 3
/
ATOMIC_SPECIES
K 39.10 K.upf
Tl 204.38 Tl.upf
Ti 47.87 Ti.upf
ATOMIC_POSITIONS angstrom
K 0.0000 0.0000 0.0000
Tl 3.2716 6.0836 6.9663
Tl 1.0905 2.0279 2.3221
Ti 2.1811 4.0557 4.6442
CELL_PARAMETERS angstrom
4.3466 2.2591 2.1261
-0.2396 4.9852 1.8993
0.2552 0.8673 5.2630
```

Summary:
Electronic total energy ... -2.983 eV/atom
N(E_F) ... 2.126 states/eV/atom
Symmetry ... Fm-3m
Volume ... 26.92 A^3/atom
ΔE to the lowest computed polymorph ... 0 kJ/mol of formula units



| no. | energy of formation (meV per atom) |
| --- | --- |
| 1 | 599 |
| 2 | 410 |
| 3 | 448 |